Model one:
First-principles (PBE) data for BeHgS2 after structural relaxation, as listed in Alexandria via LeMat-Bulk.

```
32
Lattice="5.382 -4.832 0.000 5.382 4.832 0.000 -2.428 0.000 12.701" Properties=species:S:1:pos:R:3 pbc="T T T"
Be 2.409 3.162 10.773
Be 4.713 3.162 8.279
Be 2.400 0.412 8.324
Be 3.614 -0.412 1.973
Be 4.722 0.412 10.728
Be 5.936 -0.412 4.378
Be 3.623 -3.162 4.423
Be 5.927 -3.162 1.928
Hg -0.163 0.826 11.256
Hg 3.082 2.118 4.979
Hg 1.051 -0.826 4.905
Hg 6.467 2.118 1.372
Hg 1.868 -2.118 11.330
Hg 7.285 0.826 7.796
Hg 5.253 -2.118 7.722
Hg 8.499 -0.826 1.445
S 3.561 4.383 9.526
S 1.311 1.831 9.520
S 1.917 0.397 0.906
S 0.704 -0.397 7.256
S 3.785 1.589 7.209
S 3.337 1.589 11.843
S 4.775 0.853 3.175
S 2.525 -1.831 3.169
S 5.810 1.831 9.532
S 3.561 -0.853 9.526
S 4.999 -1.589 0.859
S 4.551 -1.589 5.492
S 7.632 0.397 5.445
S 6.418 -0.397 11.796
S 7.024 -1.831 3.182
S 4.775 -4.383 3.175
```

Summary:
Space group: C2/c


Model two:
First-principles (PBE) data for BeHgS2 after structural relaxation, as listed in Alexandria via LeMat-Bulk.

```
4
Lattice="3.202 -1.731 0.000 3.202 1.731 0.000 -0.730 0.000 6.851" Properties=species:S:1:pos:R:3 pbc="T T T"
Be 0.000 0.000 0.000
Hg 2.837 0.000 3.426
S 2.192 0.000 1.134
S 3.482 0.000 5.717
```

Summary:
Space group: C2/m


Least stable of them? model two.